(1)
VASP calculation (PBE-GGA) on crystalline Ca3BiSb2Pd9 at its relaxed geometry.

Calculated values
The value obtained for the spin magnetization is 0.000 μB per formula unit. The value obtained for the density of states at the Fermi level is 6.271 states/eV/f.u. The value obtained for the uncorrected formation energy is -0.39 eV per atom. The symmetry is P-3m1 (164).

abc: 6.8294 6.8294 9.3804
angles: 90.00 90.00 120.00
Fractional positions:
Ca: 0.0000 0.0000 0.0000
Ca: 0.3333 0.6667 0.7477
Ca: 0.6667 0.3333 0.2523
Bi: 0.0000 0.0000 0.5000
Sb: 0.3333 0.6667 0.1849
Sb: 0.6667 0.3333 0.8151
Pd: 0.0000 0.5000 0.0000
Pd: 0.1336 0.2672 0.2671
Pd: 0.1336 0.8664 0.2671
Pd: 0.2672 0.1336 0.7329
Pd: 0.5000 0.0000 0.0000
Pd: 0.5000 0.5000 0.0000
Pd: 0.7328 0.8664 0.2671
Pd: 0.8664 0.1336 0.7329
Pd: 0.8664 0.7328 0.7329

***

(2)
VASP calculation (PBE-GGA) on crystalline Ca4Bi2Sb2Pd at its relaxed geometry.

Calculated values
The value obtained for the spin magnetization is 0.000 μB per formula unit. The value obtained for the density of states at the Fermi level is 3.657 states/eV/f.u. The value obtained for the uncorrected formation energy is -0.69 eV per atom. The symmetry is C2/m (12).

abc: 7.0562 7.0562 6.1510
angles: 91.49 91.49 60.69
Fractional positions:
Ca: 0.1201 0.6306 0.7514
Ca: 0.3694 0.8799 0.2486
Ca: 0.6306 0.1201 0.7514
Ca: 0.8799 0.3694 0.2486
Bi: 0.1264 0.1264 0.7499
Bi: 0.8736 0.8736 0.2501
Sb: 0.3505 0.3505 0.1938
Sb: 0.6495 0.6495 0.8062
Pd: 0.5000 0.5000 0.5000

***

Question: Which formula does entry 2 have?
Answer: Ca4Bi2Sb2Pd